# 1
La6Pr2NdEr | PBE | relaxed

abc: 9.184 9.184 9.337
angles: 90.17 90.17 114.44
Fractional coordinates of all 20 atoms:
La (0.028, 0.465, 0.819)
La (0.079, 0.775, 0.592)
La (0.225, 0.921, 0.908)
La (0.281, 0.570, 0.405)
La (0.430, 0.719, 0.095)
La (0.465, 0.028, 0.319)
La (0.535, 0.972, 0.681)
La (0.570, 0.281, 0.905)
La (0.719, 0.430, 0.595)
La (0.775, 0.079, 0.092)
La (0.921, 0.225, 0.408)
La (0.972, 0.535, 0.181)
Pr (0.206, 0.296, 0.064)
Pr (0.296, 0.206, 0.564)
Pr (0.704, 0.794, 0.436)
Pr (0.794, 0.704, 0.936)
Nd (0.069, 0.931, 0.250)
Nd (0.931, 0.069, 0.750)
Er (0.429, 0.571, 0.750)
Er (0.571, 0.429, 0.250)

Computed properties:
Total moment, μB/f.u.: 0.02
E_form, meV/atom: 113
V, Å³ per atom: 35.84
Crystal system: monoclinic
D(E_F), states/eV/cell: 25.23



# 2
La5PmHoEr2 | PBE | relaxed

abc: 11.194 11.194 10.686
angles: 90.00 90.00 151.56
Fractional coordinates of all 18 atoms:
La (0.000, 0.000, 0.000)
La (0.000, 0.000, 0.500)
La (0.123, 0.877, 0.750)
La (0.220, 0.780, 0.059)
La (0.221, 0.779, 0.439)
La (0.500, 0.500, 0.250)
La (0.500, 0.500, 0.750)
La (0.779, 0.221, 0.939)
La (0.780, 0.220, 0.559)
La (0.877, 0.123, 0.250)
Pm (0.287, 0.713, 0.749)
Pm (0.713, 0.287, 0.249)
Ho (0.100, 0.900, 0.250)
Ho (0.900, 0.100, 0.750)
Er (0.387, 0.613, 0.998)
Er (0.388, 0.612, 0.502)
Er (0.612, 0.388, 0.002)
Er (0.613, 0.387, 0.498)

Computed properties:
Total moment, μB/f.u.: 0.00
E_form, meV/atom: 128
V, Å³ per atom: 35.43
Crystal system: orthorhombic
D(E_F), states/eV/cell: 27.30



# 3
La2Pm2Se5 | PBE | relaxed

abc: 8.538 8.538 7.955
angles: 90.00 90.00 55.67
Fractional coordinates of all 18 atoms:
La (0.197, 0.197, 0.000)
La (0.303, 0.303, 0.500)
La (0.697, 0.697, 0.500)
La (0.803, 0.803, 0.000)
Pm (0.152, 0.848, 0.657)
Pm (0.348, 0.652, 0.157)
Pm (0.652, 0.348, 0.843)
Pm (0.848, 0.152, 0.343)
Se (0.000, 0.000, 0.000)
Se (0.021, 0.706, 0.346)
Se (0.206, 0.521, 0.846)
Se (0.294, 0.979, 0.346)
Se (0.479, 0.794, 0.846)
Se (0.500, 0.500, 0.500)
Se (0.521, 0.206, 0.154)
Se (0.706, 0.021, 0.654)
Se (0.794, 0.479, 0.154)
Se (0.979, 0.294, 0.654)

Computed properties:
Total moment, μB/f.u.: 0.00
V, Å³ per atom: 26.60
Formation energy without anion corrections, meV per atom: -1878.1
Crystal system: orthorhombic
D(E_F), states/eV/cell: 14.68



# 4
LiTeBr3 | PBE | relaxed

abc: 6.518 7.806 8.055
angles: 99.90 95.75 91.74
Fractional coordinates of all 10 atoms:
Li (0.177, 0.081, 0.163)
Li (0.823, 0.919, 0.837)
Te (0.194, 0.604, 0.086)
Te (0.806, 0.396, 0.914)
Br (0.210, 0.874, 0.886)
Br (0.267, 0.392, 0.310)
Br (0.303, 0.865, 0.350)
Br (0.697, 0.135, 0.650)
Br (0.733, 0.608, 0.690)
Br (0.790, 0.126, 0.114)

Computed properties:
Total moment, μB/f.u.: 0.00
V, Å³ per atom: 40.13
Formation energy without anion corrections, meV per atom: -704.0
Crystal system: triclinic



# 5
Te2OsAu | PBE | relaxed

abc: 3.992 3.923 5.671
angles: 90.00 90.46 90.00
Fractional coordinates of all 4 atoms:
Te (0.000, 0.000, 0.000)
Te (0.500, 0.500, 0.500)
Os (0.000, 0.000, 0.500)
Au (0.500, 0.500, 0.000)

Computed properties:
Total moment, μB/f.u.: 0.00
V, Å³ per atom: 22.20
Formation energy without anion corrections, meV per atom: 572.6
Crystal system: monoclinic
D(E_F), states/eV/cell: 4.36



# 6
Tb3Ho2Pd2 | PBE | relaxed

abc: 6.451 6.451 9.061
angles: 115.12 115.12 33.53
Fractional coordinates of all 7 atoms:
Tb (0.000, 0.000, 0.000)
Tb (0.113, 0.113, 0.440)
Tb (0.887, 0.887, 0.560)
Ho (0.342, 0.342, 0.187)
Ho (0.658, 0.658, 0.813)
Pd (0.328, 0.328, 0.766)
Pd (0.672, 0.672, 0.234)

Computed properties:
Total moment, μB/f.u.: 0.00
E_form, meV/atom: -516
V, Å³ per atom: 26.67
Crystal system: monoclinic
D(E_F), states/eV/cell: 8.92



# 7
Ba2CoMoOs | PBE | relaxed

abc: 6.163 6.163 4.726
angles: 90.00 90.00 90.00
Fractional coordinates of all 5 atoms:
Ba (0.000, 0.500, 0.000)
Ba (0.500, 0.000, 0.000)
Co (0.000, 0.000, 0.500)
Mo (0.500, 0.500, 0.500)
Os (0.500, 0.500, 0.000)

Computed properties:
Total moment, μB/f.u.: 2.37
E_form, meV/atom: 1431
V, Å³ per atom: 35.91
Crystal system: tetragonal
D(E_F), states/eV/cell: 10.70



# 8
Tl2TeCl2 | PBE | relaxed

abc: 8.026 8.026 8.026
angles: 146.91 146.91 47.50
Fractional coordinates of all 5 atoms:
Tl (0.124, 0.124, 0.000)
Tl (0.876, 0.876, 0.000)
Te (0.500, 0.500, 0.000)
Cl (0.250, 0.750, 0.500)
Cl (0.750, 0.250, 0.500)

Computed properties:
Total moment, μB/f.u.: 0.00
V, Å³ per atom: 30.71
Formation energy without anion corrections, meV per atom: -320.7
Crystal system: tetragonal
D(E_F), states/eV/cell: 5.75



# 9
Nb2VSb4 | PBE | relaxed

abc: 6.986 5.762 8.161
angles: 90.00 109.35 90.00
Fractional coordinates of all 14 atoms:
Nb (0.189, 0.250, 0.081)
Nb (0.275, 0.250, 0.546)
Nb (0.725, 0.750, 0.454)
Nb (0.811, 0.750, 0.919)
V (0.328, 0.750, 0.301)
V (0.672, 0.250, 0.699)
Sb (0.030, 0.005, 0.735)
Sb (0.030, 0.495, 0.735)
Sb (0.448, 0.750, 0.642)
Sb (0.490, 0.750, 0.068)
Sb (0.510, 0.250, 0.932)
Sb (0.552, 0.250, 0.358)
Sb (0.970, 0.505, 0.265)
Sb (0.970, 0.995, 0.265)

Computed properties:
Total moment, μB/f.u.: 0.00
V, Å³ per atom: 22.14
Formation energy without anion corrections, meV per atom: 148.0
Crystal system: monoclinic
D(E_F), states/eV/cell: 9.85



# 10
Ac5Sn2RhCl | PBE | relaxed

abc: 10.011 10.011 15.131
angles: 90.00 90.00 153.77
Fractional coordinates of all 18 atoms:
Ac (0.007, 0.993, 0.500)
Ac (0.134, 0.866, 0.726)
Ac (0.201, 0.799, 0.132)
Ac (0.239, 0.761, 0.403)
Ac (0.419, 0.581, 0.817)
Ac (0.581, 0.419, 0.317)
Ac (0.761, 0.239, 0.903)
Ac (0.799, 0.201, 0.632)
Ac (0.866, 0.134, 0.226)
Ac (0.993, 0.007, 0.000)
Sn (0.363, 0.637, 0.038)
Sn (0.413, 0.587, 0.391)
Sn (0.587, 0.413, 0.891)
Sn (0.637, 0.363, 0.538)
Rh (0.280, 0.720, 0.759)
Rh (0.720, 0.280, 0.259)
Cl (0.037, 0.963, 0.184)
Cl (0.963, 0.037, 0.684)

Computed properties:
Total moment, μB/f.u.: 0.48
V, Å³ per atom: 37.24
Formation energy without anion corrections, meV per atom: -788.8
Crystal system: orthorhombic
D(E_F), states/eV/cell: 11.84



# 11
K2YSi | PBE | relaxed

abc: 6.924 6.924 6.924
angles: 142.24 142.24 54.47
Fractional coordinates of all 4 atoms:
K (0.250, 0.750, 0.500)
K (0.750, 0.250, 0.500)
Y (0.000, 0.000, 0.000)
Si (0.500, 0.500, 0.000)

Computed properties:
Total moment, μB/f.u.: 0.89
V, Å³ per atom: 30.92
Formation energy without anion corrections, meV per atom: 275.2
Crystal system: tetragonal
D(E_F), states/eV/cell: 0.97



# 12
BaSr2MgSe4 | PBE | relaxed

abc: 7.756 7.756 15.321
angles: 90.00 90.00 146.90
Fractional coordinates of all 16 atoms:
Ba (0.118, 0.882, 0.750)
Ba (0.882, 0.118, 0.250)
Sr (0.370, 0.630, 0.550)
Sr (0.370, 0.630, 0.950)
Sr (0.630, 0.370, 0.050)
Sr (0.630, 0.370, 0.450)
Mg (0.154, 0.846, 0.250)
Mg (0.846, 0.154, 0.750)
Se (0.000, 0.000, 0.000)
Se (0.000, 0.000, 0.500)
Se (0.266, 0.734, 0.124)
Se (0.266, 0.734, 0.376)
Se (0.443, 0.557, 0.750)
Se (0.557, 0.443, 0.250)
Se (0.734, 0.266, 0.624)
Se (0.734, 0.266, 0.876)

Computed properties:
Total moment, μB/f.u.: 0.00
V, Å³ per atom: 31.46
Formation energy without anion corrections, meV per atom: -1822.5
Crystal system: orthorhombic
D(E_F), states/eV/cell: 0.00



Question: What is the total moment in the fourth record?
Answer: 0.00 μB/f.u.